<w>
VASP calculation (PBE) on a geometry-optimized Tb5Er4Th2 structure.

Mass density   8.8 g cm⁻³
V   724.00 Å³ per cell
Crystal system   orthorhombic

Lattice parameters (Å, degrees): 3.4526 11.4530 18.3095 90.00 90.00 90.00
Space group Immm (No. 71)
Asymmetric unit:
Tb 0.0000 0.0000 0.0000 (multiplicity 2)
Tb 0.0000 0.2133 0.3231 (multiplicity 8)
Er 0.0000 0.2248 0.5000 (multiplicity 4)
Er 0.0000 0.5000 0.0897 (multiplicity 4)
Th 0.0000 0.5000 0.2940 (multiplicity 4)

<x>
VASP calculation (PBE) on a geometry-optimized Tb5Er4Th2 structure.

Mass density   9.0 g cm⁻³
V   355.82 Å³ per cell
Crystal system   monoclinic

Lattice parameters (Å, degrees): 8.7485 3.4848 11.7028 90.00 94.20 90.00
Space group P2/m (No. 10)
Asymmetric unit:
Tb 0.0000 0.0000 0.0000 (multiplicity 1)
Tb 0.0715 0.0000 0.2896 (multiplicity 2)
Tb 0.3049 0.0000 0.8390 (multiplicity 2)
Er 0.1954 0.5000 0.5461 (multiplicity 2)
Er 0.3395 0.5000 0.1078 (multiplicity 2)
Th 0.4637 0.0000 0.3653 (multiplicity 2)

What should be chosen as the most stable of them? Choose <x>.

<w>
VASP calculation (PBE) on a geometry-optimized Tb4Er6Th structure.

Mass density   8.3 g cm⁻³
V   748.19 Å³ per cell
Crystal system   tetragonal

Lattice parameters (Å, degrees): 7.6090 7.6090 12.9228 90.00 90.00 90.00
Space group I-42m (No. 121)
Asymmetric unit:
Tb 0.1725 0.1725 0.4253 (multiplicity 8)
Er 0.0000 0.5000 0.0000 (multiplicity 4)
Er 0.2452 0.2452 0.1825 (multiplicity 8)
Th 0.0000 0.0000 0.0000 (multiplicity 2)

<x>
VASP calculation (PBE) on a geometry-optimized Tb4Er6Th structure.

Mass density   8.9 g cm⁻³
V   1390.81 Å³ per cell
Crystal system   orthorhombic

Lattice parameters (Å, degrees): 5.6557 9.6538 25.4729 90.00 90.00 90.00
Space group Cmcm (No. 63)
Asymmetric unit:
Tb 0.0000 0.0134 0.1221 (multiplicity 8)
Tb 0.0000 0.3372 0.0415 (multiplicity 8)
Er 0.0000 0.0000 0.0000 (multiplicity 4)
Er 0.0000 0.0124 0.2500 (multiplicity 4)
Er 0.0000 0.3232 0.6024 (multiplicity 8)
Er 0.0000 0.3456 0.1828 (multiplicity 8)
Th 0.0000 0.3221 0.7500 (multiplicity 4)

What should be chosen as the most stable of them? Choose <x>.

<w>
VASP calculation (PBE) on a geometry-optimized Tb2Er8Th3 structure.

Mass density   9.1 g cm⁻³
V   858.49 Å³ per cell
Crystal system   monoclinic

Lattice parameters (Å, degrees): 19.8505 7.8348 5.5200 90.00 90.08 90.00
Space group C2/m (No. 12)
Asymmetric unit:
Tb 0.2385 0.0000 0.4983 (multiplicity 4)
Er 0.1073 0.2963 0.5006 (multiplicity 8)
Er 0.1282 0.0000 0.9992 (multiplicity 4)
Er 0.1692 0.5000 0.0014 (multiplicity 4)
Th 0.0000 0.0000 0.5000 (multiplicity 2)
Th 0.0000 0.2965 0.0000 (multiplicity 4)

<x>
VASP calculation (PBE) on a geometry-optimized Tb2Er8Th3 structure.

Mass density   9.4 g cm⁻³
V   831.39 Å³ per cell
Crystal system   monoclinic

Lattice parameters (Å, degrees): 22.9940 5.5666 6.6553 90.00 102.59 90.00
Space group C2/m (No. 12)
Asymmetric unit:
Tb 0.2313 0.0000 0.3126 (multiplicity 4)
Er 0.0757 0.0000 0.0886 (multiplicity 4)
Er 0.1222 0.5000 0.4873 (multiplicity 4)
Er 0.1690 0.5000 0.0306 (multiplicity 4)
Er 0.1765 0.0000 0.7638 (multiplicity 4)
Th 0.0000 0.0000 0.5000 (multiplicity 2)
Th 0.0137 0.5000 0.7777 (multiplicity 4)

What should be chosen as the most stable of them? Choose <x>.